A plane-wave DFT calculation with PBE was carried out for a relaxed BaLaCl5 crystal.

a = 9.3361 Å, b = 10.6576 Å, c = 13.2989 Å
α = 78.30°, β = 75.52°, γ = 73.02°
Closest atoms and distances in Å follow each position.
Atoms (fractional coordinates):
Ba1 0.2053 0.2519 0.1035  8 Cl 3.15-3.39
Ba2 0.2389 0.8333 0.4446  8 Cl 3.05-3.34
Ba3 0.2931 0.4599 0.7239  8 Cl 3.13-3.49
Ba4 0.7069 0.5401 0.2761  8 Cl 3.13-3.49
Ba5 0.7611 0.1667 0.5554  8 Cl 3.05-3.34
Ba6 0.7947 0.7481 0.8965  8 Cl 3.15-3.39
La1 0.2137 0.3231 0.4352  7 Cl 2.83-3.11
La2 0.2615 0.6663 0.0802  7 Cl 2.81-3.01
La3 0.2775 0.9820 0.7668  6 Cl 2.79-3.02
La4 0.7225 0.0180 0.2332  6 Cl 2.79-3.02
La5 0.7385 0.3337 0.9198  7 Cl 2.81-3.01
La6 0.7863 0.6769 0.5648  7 Cl 2.83-3.11
Cl1 0.0055 0.4066 0.6181  2 La 2.83-3.07
Cl2 0.0102 0.5503 0.1114  1 La 2.86, 2 Ba 3.13-3.18
Cl3 0.0158 0.7210 0.6529  1 La 2.87
Cl4 0.0361 0.8948 0.1526  2 La 2.86-2.87
Cl5 0.1135 0.0703 0.5763  2 La 3.13-3.19, 2 Ba 3.14-3.21, 1 Cl 3.34
Cl6 0.1297 0.7725 0.8859  2 La 2.94-3.01, 1 Ba 3.18
Cl7 0.2924 0.1738 0.8757  1 La 2.79
Cl8 0.3238 0.4203 0.2223  2 La 2.85-2.90, 1 Ba 3.18
Cl9 0.3326 0.5208 0.4736  1 La 2.83, 1 Ba 3.16
Cl10 0.3577 0.0843 0.3095  2 La 3.11-3.21, 2 Ba 3.22-3.35, 4 Cl 3.44-3.48
Cl11 0.3760 0.7331 0.2332  1 La 2.81, 1 Ba 3.05
Cl12 0.3774 0.4582 0.9459  2 La 2.92-3.20, 2 Ba 3.21-3.24
Cl13 0.3842 0.1976 0.6068  2 La 2.98-3.02, 1 Ba 3.27
Cl14 0.3917 0.7621 0.6433  1 La 2.92, 1 Ba 3.17
Cl15 0.4234 0.8462 0.9410  2 La 2.87-2.90
Cl16 0.5766 0.1538 0.0590  2 La 2.87-2.90
Cl17 0.6083 0.2379 0.3567  1 La 2.92, 1 Ba 3.17
Cl18 0.6158 0.8024 0.3932  2 La 2.98-3.02, 1 Ba 3.27
Cl19 0.6226 0.5418 0.0541  2 La 2.92-3.20, 2 Ba 3.21-3.24
Cl20 0.6240 0.2669 0.7668  1 La 2.81, 1 Ba 3.05
Cl21 0.6423 0.9157 0.6905  2 La 3.11-3.21, 2 Ba 3.22-3.35, 4 Cl 3.44-3.48
Cl22 0.6674 0.4792 0.5264  1 La 2.83, 1 Ba 3.16
Cl23 0.6762 0.5797 0.7777  2 La 2.85-2.90, 1 Ba 3.18
Cl24 0.7076 0.8262 0.1243  1 La 2.79
Cl25 0.8703 0.2275 0.1141  2 La 2.94-3.01, 1 Ba 3.18
Cl26 0.8865 0.9297 0.4237  2 La 3.13-3.19, 2 Ba 3.14-3.21, 1 Cl 3.34
Cl27 0.9639 0.1052 0.8474  2 La 2.86-2.87
Cl28 0.9842 0.2790 0.3471  1 La 2.87
Cl29 0.9898 0.4497 0.8886  1 La 2.86, 2 Ba 3.13-3.18
Cl30 0.9945 0.5934 0.3819  2 La 2.83-3.07

SG	P-1, No. 2
energy relative to the lowest polymorph listed for this composition	0.17	eV per formula unit
formation energy from raw total energies	-2.435	eV per atom

A plane-wave DFT calculation with PBE was carried out for a relaxed Na4Sr3TcO8 crystal.

a = 6.9127 Å, b = 6.9127 Å, c = 6.9127 Å
α = 60.71°, β = 60.71°, γ = 60.71°
Closest atoms and distances in Å follow each position.
Atoms (fractional coordinates):
Na1 0.0000 0.0000 0.0000  6 O 2.92
Na2 0.0000 0.5000 0.5000  6 O 2.49
Na3 0.5000 0.0000 0.5000  6 O 2.49
Na4 0.5000 0.5000 0.0000  6 O 2.49
Sr1 0.0000 0.0000 0.5000  6 O 2.43-2.51
Sr2 0.0000 0.5000 0.0000  6 O 2.43-2.51
Sr3 0.5000 0.0000 0.0000  6 O 2.43-2.51
Tc1 0.5000 0.5000 0.5000  6 O 2.00
O1 0.2468 0.2468 0.2468  3 Sr 2.43, 3 Na 2.49
O2 0.2968 0.2968 0.7027  1 Tc 2.00
O3 0.2968 0.7027 0.2968  1 Tc 2.00
O4 0.2973 0.7032 0.7032  1 Tc 2.00
O5 0.7027 0.2968 0.2968  1 Tc 2.00
O6 0.7032 0.2973 0.7032  1 Tc 2.00
O7 0.7032 0.7032 0.2973  1 Tc 2.00
O8 0.7532 0.7532 0.7532  3 Sr 2.43, 3 Na 2.49

SG	R-3m, No. 166
formation energy from raw total energies	-1.879	eV per atom

A plane-wave DFT calculation with PBE was carried out for a relaxed AcPmEu2 crystal.

a = 3.8504 Å, b = 3.8504 Å, c = 10.8266 Å
α = 90.00°, β = 90.00°, γ = 90.00°
Closest atoms and distances in Å follow each position.
Atoms (fractional coordinates):
Ac1 0.0000 0.0000 0.0000  4 Ac 3.85, 8 Eu 3.93
Pm1 0.0000 0.0000 0.5000  8 Eu 3.75, 4 Pm 3.85
Eu1 0.5000 0.5000 0.2616  4 Pm 3.75, 4 Eu 3.85, 4 Ac 3.93
Eu2 0.5000 0.5000 0.7384  4 Pm 3.75, 4 Eu 3.85, 4 Ac 3.93

SG	P4/mmm, No. 123
energy relative to the lowest polymorph listed for this composition	0.06	eV per formula unit
formation energy from the elements	0.079	eV per atom

A plane-wave DFT calculation with PBE was carried out for a relaxed RuPt2Rh crystal.

a = 4.7567 Å, b = 4.7567 Å, c = 4.7929 Å
α = 99.49°, β = 99.49°, γ = 33.73°
Closest atoms and distances in Å follow each position.
Atoms (fractional coordinates):
Ru1 0.0000 0.0000 0.0000  6 Pt 2.73-2.76, 2 Ru 2.76, 4 Rh 2.77
Pt1 0.2524 0.2524 0.7538  3 Ru 2.73-2.76, 3 Rh 2.74-2.77, 6 Pt 2.74-2.79
Pt2 0.7476 0.7476 0.2462  3 Ru 2.73-2.76, 3 Rh 2.74-2.77, 6 Pt 2.74-2.79
Rh1 0.5000 0.5000 0.5000  6 Pt 2.74-2.77, 2 Rh 2.76, 4 Ru 2.77

SG	C2/m, No. 12
energy relative to the lowest polymorph listed for this composition	0.25	eV per formula unit
formation energy from the elements	0.026	eV per atom

A plane-wave DFT calculation with PBE was carried out for a relaxed CsAcTcN3 crystal.

a = 7.5447 Å, b = 7.5447 Å, c = 8.5665 Å
α = 103.85°, β = 103.85°, γ = 31.16°
Closest atoms and distances in Å follow each position.
Atoms (fractional coordinates):
Cs1 0.1343 0.1343 0.0705  6 N 3.22-3.54
Cs2 0.8657 0.8657 0.9295  6 N 3.22-3.54
Ac1 0.1595 0.1595 0.5927  7 N 2.59-2.72
Ac2 0.8405 0.8405 0.4073  7 N 2.59-2.72
Tc1 0.4898 0.4898 0.6538  4 N 1.87-2.03
Tc2 0.5102 0.5102 0.3462  4 N 1.87-2.03
N1 0.0137 0.0137 0.3464  2 Tc 2.03
N2 0.3500 0.3500 0.6179  1 Tc 1.98
N3 0.3835 0.3835 0.2278  1 Tc 1.87
N4 0.6165 0.6165 0.7722  1 Tc 1.87
N5 0.6500 0.6500 0.3821  1 Tc 1.98
N6 0.9863 0.9863 0.6536  2 Tc 2.03

SG	C2/m, No. 12
formation energy from raw total energies	-0.314	eV per atom

A plane-wave DFT calculation with PBE was carried out for a relaxed CdTeW2 crystal.

a = 3.2744 Å, b = 3.2744 Å, c = 8.0007 Å
α = 90.00°, β = 90.00°, γ = 90.00°
Closest atoms and distances in Å follow each position.
Atoms (fractional coordinates):
Cd1 0.0000 0.0000 0.0000  5 W 2.98-3.26, 4 Cd 3.27
Te1 0.5000 0.5000 0.3780  5 W 2.88-3.09
W1 0.0000 0.0000 0.5927  4 W 2.69, 4 Te 2.88
W2 0.5000 0.5000 0.7645  4 W 2.69, 4 Cd 2.98

SG	P4mm, No. 99
energy relative to the lowest polymorph listed for this composition	0.07	eV per formula unit
formation energy from raw total energies	0.451	eV per atom

A plane-wave DFT calculation with PBE was carried out for a relaxed Ti4Be3Cr crystal.

a = 2.9975 Å, b = 2.9975 Å, c = 11.6283 Å
α = 90.00°, β = 90.00°, γ = 90.00°
Closest atoms and distances in Å follow each position.
Atoms (fractional coordinates):
Ti1 0.0000 0.0000 0.1241  8 Be 2.56
Ti2 0.0000 0.0000 0.3741  4 Cr 2.58, 4 Be 2.58
Ti3 0.0000 0.0000 0.6259  4 Cr 2.58, 4 Be 2.58
Ti4 0.0000 0.0000 0.8759  8 Be 2.56
Be1 0.5000 0.5000 0.0000  8 Ti 2.56
Be2 0.5000 0.5000 0.2469  8 Ti 2.56-2.58
Be3 0.5000 0.5000 0.7531  8 Ti 2.56-2.58
Cr1 0.5000 0.5000 0.5000  8 Ti 2.58

SG	P4/mmm, No. 123
formation energy from the elements	-0.099	eV per atom

A plane-wave DFT calculation with PBE was carried out for a relaxed Cs3PaI6 crystal.

a = 9.0981 Å, b = 9.7006 Å, c = 15.8835 Å
α = 90.00°, β = 124.20°, γ = 90.00°
Closest atoms and distances in Å follow each position.
Atoms (fractional coordinates):
Cs1 0.0000 0.0000 0.0000  6 I 3.82-3.87
Cs2 0.0000 0.5000 0.5000  6 I 3.82-3.87
Cs3 0.2836 0.0808 0.7526  6 I 3.91-4.10
Cs4 0.2836 0.4192 0.2526  6 I 3.91-4.10
Cs5 0.7164 0.5808 0.7474  6 I 3.91-4.10
Cs6 0.7164 0.9192 0.2474  6 I 3.91-4.10
Pa1 0.5000 0.0000 0.5000  6 I 3.17-3.19
Pa2 0.5000 0.5000 0.0000  6 I 3.17-3.19
I1 0.1530 0.0438 0.2777  1 Pa 3.18
I2 0.1530 0.4562 0.7777  1 Pa 3.18
I3 0.2814 0.6762 0.0619  1 Pa 3.17
I4 0.2814 0.8238 0.5619  1 Pa 3.17
I5 0.4054 0.2250 0.0698  1 Pa 3.19
I6 0.4054 0.2750 0.5698  1 Pa 3.19
I7 0.5946 0.7250 0.4302  1 Pa 3.19
I8 0.5946 0.7750 0.9302  1 Pa 3.19
I9 0.7186 0.1762 0.4381  1 Pa 3.17
I10 0.7186 0.3238 0.9381  1 Pa 3.17
I11 0.8470 0.5438 0.2223  1 Pa 3.18
I12 0.8470 0.9562 0.7223  1 Pa 3.18

SG	P2_1/c, No. 14
formation energy from raw total energies	-1.257	eV per atom

Calculated volume list, top to bottom, in Å³ per atom: 28.89; 14.83; 40.13; 14.83; 20.37; 21.45; 13.06; 57.97
Raw total energy list, top to bottom, in Ry per atom: -0.3478; -0.4154; -0.5346; -0.5256; -0.5168; -0.5174; -0.4886; -0.2494
DOS at the Fermi energy list, top to bottom, in states/eV/f.u.: 0.0; 6.5; 4.9; 5.2; 2.6; 1.9; 5.4; 10.6